(1)
# LiIrCO2 | the Alexandria database | PBE | relaxed
# E   -23.8 eV/f.u.
# V   45.2 Å³/cell
# Total magnetization   0.0 μB/cell
data_LiIrCO2
_chemical_formula_sum 'Li1 Ir1 C1 O2'
_symmetry_space_group_name_H-M 'P 4/m m m'
_symmetry_Int_Tables_number 123
_symmetry_space_group_name_Hall '-P 4 2'
_cell_length_a 3.444
_cell_length_b 3.444
_cell_length_c 3.806
_cell_angle_alpha 90.00
_cell_angle_beta 90.00
_cell_angle_gamma 90.00
loop_
_atom_site_label
_atom_site_type_symbol
_atom_site_fract_x
_atom_site_fract_y
_atom_site_fract_z
Li1 Li 0.000 0.000 0.000
Ir1 Ir 0.500 0.500 0.500
C1 C 0.000 0.000 0.500
O1 O 0.000 0.500 0.000



(2)
# LiIr2PtC | the Alexandria database | PBE | relaxed
# E   -34.5 eV/f.u.
# V   65.3 Å³/cell
# Total magnetization   0.0 μB/cell
# Energy relative to the elements   79 meV per atom
data_LiIr2PtC
_chemical_formula_sum 'Li1 Ir2 Pt1 C1'
_symmetry_space_group_name_H-M 'P 4/m m m'
_symmetry_Int_Tables_number 123
_symmetry_space_group_name_Hall '-P 4 2'
_cell_length_a 3.976
_cell_length_b 3.976
_cell_length_c 4.132
_cell_angle_alpha 90.00
_cell_angle_beta 90.00
_cell_angle_gamma 90.00
loop_
_atom_site_label
_atom_site_type_symbol
_atom_site_fract_x
_atom_site_fract_y
_atom_site_fract_z
Li1 Li 0.000 0.000 0.000
Ir1 Ir 0.000 0.500 0.500
Pt1 Pt 0.500 0.500 0.000
C1 C 0.000 0.000 0.500